1.
A plane-wave DFT calculation with PBE was carried out for Pm2Tm3Tl4 after structural relaxation.

mass density = 10.45 Mg/m³
energy relative to the elements = -0.28 eV per atom
relative energy among the computed polymorphs = 0 meV/atom
total moment = 0.0 μB per cell

Unit cell a=5.2661 b=5.2661 c=10.6781 alpha=90.00 beta=90.00 gamma=120.00
Space group P-3m1 (No. 164)
Inequivalent atoms, fractional coordinates:
Pm 0.3333 0.6667 0.2767 (multiplicity 2)
Tm 0.0000 0.0000 0.5000 (multiplicity 1)
Tm 0.3333 0.6667 0.9279 (multiplicity 2)
Tl 0.0000 0.0000 0.1512 (multiplicity 2)
Tl 0.3333 0.6667 0.6032 (multiplicity 2)

***

2.
A plane-wave DFT calculation with PBE was carried out for TiRuO2F after structural relaxation.

energy relative to the elements, uncorrected = -0.655 eV/atom
mass density = 5.37 Mg/m³
total moment = 0.1 μB per cell

Unit cell a=3.927 b=3.927 c=4.006 alpha=90.00 beta=90.00 gamma=90.00
Space group P4/mmm (No. 123)
Inequivalent atoms, fractional coordinates:
Ti 0.000 0.000 0.000 (multiplicity 1)
Ru 0.500 0.500 0.500 (multiplicity 1)
O 0.000 0.500 0.500 (multiplicity 2)
F 0.500 0.500 0.000 (multiplicity 1)

***

3.
A plane-wave DFT calculation with PBE was carried out for Sc3GaO after structural relaxation.

energy relative to the elements, uncorrected = -0.909 eV/atom
mass density = 3.42 Mg/m³
total moment = 0.0 μB per cell

Unit cell a=8.6579 b=8.6579 c=4.9484 alpha=90.00 beta=90.00 gamma=120.00
Space group R3m (No. 160, hexagonal axes)
Inequivalent atoms, fractional coordinates:
Sc 0.2084 0.4169 0.0000 (multiplicity 9)
Ga 0.0000 0.0000 0.9017 (multiplicity 3)
O 0.0000 0.0000 0.4985 (multiplicity 3)

***

4.
A plane-wave DFT calculation with PBE was carried out for MnCdSi after structural relaxation.

energy relative to the elements, uncorrected = 0.304 eV/atom
mass density = 5.71 Mg/m³
relative energy among the computed polymorphs = 275 meV/atom
total moment = 15.7 μB per cell

Unit cell a=6.102 b=6.102 c=6.102 alpha=90.00 beta=90.00 gamma=90.00
Space group F-43m (No. 216)
Inequivalent atoms, fractional coordinates:
Mn 0.000 0.000 0.000 (multiplicity 4)
Cd 0.000 0.000 0.500 (multiplicity 4)
Si 0.250 0.250 0.250 (multiplicity 4)

***

- Look up the total moment of the first one.
  0.0 μB per cell

***

- Among the records above, which one has the highest total moment?
  MnCdSi